# 1
ScHg2CO | PBE-GGA | relaxed

Structure (POSCAR):
```
ScHg2CO
1.0
4.505 0.000 0.000
0.000 4.505 0.000
0.000 0.000 4.486
Sc Hg C O
1 2 1 1
direct
0.000 0.000 0.000 Sc
0.000 0.500 0.500 Hg
0.500 0.000 0.500 Hg
0.500 0.500 0.000 C
0.500 0.500 0.500 O
```

symmetry = No. 123
formation energy without anion corrections = 1.161 eV per atom


# 2
ScHgC2O6 | PBE-GGA | relaxed

Structure (POSCAR):
```
ScHgC2O6
1.0
4.571 -4.162 0.000
4.571 4.162 0.000
-2.795 0.000 6.304
Sc Hg C O
2 2 4 12
direct
0.077 0.923 0.750 Sc
0.923 0.077 0.250 Sc
0.445 0.555 0.250 Hg
0.555 0.445 0.750 Hg
0.074 0.370 0.752 C
0.370 0.074 0.252 C
0.630 0.926 0.748 C
0.926 0.630 0.248 C
0.050 0.790 0.406 O
0.091 0.569 0.742 O
0.178 0.298 0.914 O
0.210 0.950 0.094 O
0.298 0.178 0.414 O
0.431 0.909 0.758 O
0.569 0.091 0.242 O
0.702 0.822 0.586 O
0.790 0.050 0.906 O
0.822 0.702 0.086 O
0.909 0.431 0.258 O
0.950 0.210 0.594 O
```

symmetry = No. 15
formation energy without anion corrections = -1.622 eV per atom


# 3
SnHg2CO | PBE-GGA | relaxed

Structure (POSCAR):
```
SnHg2CO
1.0
4.678 0.000 0.000
0.000 4.678 0.000
0.000 0.000 4.866
Sn Hg C O
1 2 1 1
direct
0.000 0.000 0.000 Sn
0.000 0.500 0.500 Hg
0.500 0.000 0.500 Hg
0.500 0.500 0.000 C
0.000 0.000 0.500 O
```

symmetry = No. 123
formation energy without anion corrections = 1.293 eV per atom


# 4
TiHgCO2 | PBE-GGA | relaxed

Structure (POSCAR):
```
TiHgCO2
1.0
3.674 0.000 0.000
0.000 3.674 0.000
0.000 0.000 6.819
Ti Hg C O
1 1 1 2
direct
0.000 0.000 0.000 Ti
0.000 0.000 0.500 Hg
0.500 0.500 0.500 C
0.000 0.500 0.000 O
0.500 0.000 0.000 O
```

symmetry = No. 123
formation energy without anion corrections = -0.152 eV per atom


# 5
Tl2HgC2O6 | PBE-GGA | relaxed

Structure (POSCAR):
```
Tl2HgC2O6
1.0
5.806 -2.683 0.000
5.806 2.683 0.000
-3.209 0.000 6.063
Tl Hg C O
2 1 2 6
direct
0.190 0.190 0.196 Tl
0.810 0.810 0.804 Tl
0.000 0.000 0.500 Hg
0.486 0.486 0.266 C
0.514 0.514 0.734 C
0.208 0.625 0.221 O
0.375 0.792 0.779 O
0.391 0.391 0.656 O
0.609 0.609 0.344 O
0.625 0.208 0.221 O
0.792 0.375 0.779 O
```

symmetry = No. 12
formation energy without anion corrections = -1.021 eV per atom


# 6
TlHgC2O6 | PBE-GGA | relaxed

Structure (POSCAR):
```
TlHgC2O6
1.0
4.333 -5.099 0.000
4.333 5.099 0.000
-1.847 0.000 6.313
Tl Hg C O
2 2 4 12
direct
0.130 0.870 0.750 Tl
0.870 0.130 0.250 Tl
0.369 0.631 0.250 Hg
0.631 0.369 0.750 Hg
0.147 0.369 0.753 C
0.369 0.147 0.253 C
0.631 0.853 0.747 C
0.853 0.631 0.247 C
0.040 0.692 0.358 O
0.207 0.552 0.876 O
0.244 0.278 0.240 O
0.278 0.244 0.740 O
0.308 0.960 0.142 O
0.448 0.793 0.624 O
0.552 0.207 0.376 O
0.692 0.040 0.858 O
0.722 0.756 0.260 O
0.756 0.722 0.760 O
0.793 0.448 0.124 O
0.960 0.308 0.642 O
```

symmetry = No. 15
formation energy without anion corrections = -0.968 eV per atom


# 7
TlHg2C2O6 | PBE-GGA | relaxed

Structure (POSCAR):
```
TlHg2C2O6
1.0
4.686 -3.244 0.000
4.686 3.244 0.000
-3.592 0.000 6.272
Tl Hg C O
1 2 2 6
direct
0.000 0.000 0.000 Tl
0.214 0.786 0.500 Hg
0.786 0.214 0.500 Hg
0.355 0.355 0.720 C
0.645 0.645 0.280 C
0.118 0.471 0.730 O
0.471 0.118 0.730 O
0.487 0.487 0.699 O
0.513 0.513 0.301 O
0.529 0.882 0.270 O
0.882 0.529 0.270 O
```

symmetry = No. 12
formation energy without anion corrections = -0.886 eV per atom


# 8
TmHgC2O6 | PBE-GGA | relaxed

Structure (POSCAR):
```
TmHgC2O6
1.0
4.386 -4.617 0.000
4.386 4.617 0.000
-2.804 0.000 6.504
Tm Hg C O
2 2 4 12
direct
0.090 0.910 0.750 Tm
0.910 0.090 0.250 Tm
0.400 0.600 0.250 Hg
0.600 0.400 0.750 Hg
0.099 0.364 0.753 C
0.364 0.099 0.253 C
0.636 0.901 0.747 C
0.901 0.636 0.247 C
0.033 0.799 0.398 O
0.098 0.563 0.755 O
0.201 0.967 0.102 O
0.230 0.299 0.897 O
0.299 0.230 0.397 O
0.437 0.902 0.745 O
0.563 0.098 0.255 O
0.701 0.770 0.603 O
0.770 0.701 0.103 O
0.799 0.033 0.898 O
0.902 0.437 0.245 O
0.967 0.201 0.602 O
```

symmetry = No. 15
formation energy without anion corrections = -1.732 eV per atom


# 9
TmHgC2O8 | PBE-GGA | relaxed

Structure (POSCAR):
```
TmHgC2O8
1.0
5.116 0.000 0.000
-2.558 4.431 0.000
0.000 0.000 6.751
Tm Hg C O
1 1 2 8
direct
0.000 0.000 0.000 Tm
0.000 0.000 0.500 Hg
0.333 0.667 0.720 C
0.667 0.333 0.280 C
0.186 0.371 0.785 O
0.186 0.814 0.785 O
0.333 0.667 0.516 O
0.371 0.186 0.215 O
0.629 0.814 0.785 O
0.667 0.333 0.484 O
0.814 0.186 0.215 O
0.814 0.629 0.215 O
```

symmetry = No. 164
formation energy without anion corrections = -1.102 eV per atom